La3Pm4Dy2: relaxed, PBE.

a b c (Å): 3.644 3.644 27.386
angles (deg): 90.00 90.00 120.00
Atoms (fractional coordinates):
Pm: 0.000 0.000 0.542
Pm: 0.667 0.333 0.212
La: 0.000 0.000 0.320
Dy: 0.667 0.333 0.872
La: 0.667 0.333 0.655
Dy: 0.667 0.333 0.089
La: 0.000 0.000 0.984
Pm: 0.000 0.000 0.769
Pm: 0.667 0.333 0.435

- N(E_F): 15.17 states/eV per cell
- Total energy: -4.705 eV/atom
- ΔE_f: 0.072 eV/atom
- E above lowest polymorph: 51.9 meV/atom



LaPm5Dy12: relaxed, PBE.

a b c (Å): 10.754 10.751 6.203
angles (deg): 106.56 90.00 59.99
Atoms (fractional coordinates):
Pm: 0.333 0.334 0.000
Dy: 0.336 0.665 0.999
Pm: 0.833 0.334 0.501
Dy: 0.831 0.000 0.500
Dy: 0.664 0.335 0.001
Pm: 0.500 0.000 0.500
Dy: 0.834 0.667 0.501
Pm: 0.167 0.666 0.499
La: 0.000 0.000 0.000
Dy: 0.001 0.335 0.001
Dy: 0.169 0.000 0.500
Dy: 0.999 0.665 0.999
Dy: 0.166 0.333 0.499
Dy: 0.499 0.667 0.501
Dy: 0.333 0.000 0.000
Pm: 0.667 0.666 0.000
Dy: 0.501 0.333 0.499
Dy: 0.667 0.000 0.000

- N(E_F): 22.96 states/eV per cell
- Total energy: -4.643 eV/atom
- ΔE_f: 0.019 eV/atom



LaPm4Dy6: relaxed, PBE.

a b c (Å): 9.756 9.756 9.756
angles (deg): 57.86 140.00 140.00
Atoms (fractional coordinates):
Pm: 0.619 0.986 0.986
Dy: 0.000 0.805 0.447
Dy: 0.358 0.553 0.553
Pm: 0.000 0.633 0.014
Dy: 0.500 0.500 0.000
Pm: 0.381 0.367 0.367
Dy: 0.642 0.195 0.195
Dy: 0.000 0.447 0.805
La: 0.000 0.000 0.000
Dy: 0.500 0.000 0.500
Pm: 0.000 0.014 0.633

- N(E_F): 15.94 states/eV per cell
- Total energy: -4.373 eV/atom
- ΔE_f: 0.313 eV/atom
- E above lowest polymorph: 163.5 meV/atom



LaPm3Dy4: relaxed, PBE.

a b c (Å): 3.631 10.737 8.121
angles (deg): 98.71 116.70 70.24
Atoms (fractional coordinates):
Pm: 0.500 0.500 0.500
La: 0.500 0.000 0.000
Dy: 0.504 0.748 0.252
Dy: 0.000 0.748 0.748
Dy: 0.000 0.252 0.252
Dy: 0.496 0.252 0.748
Pm: 0.000 0.500 0.000
Pm: 0.000 0.000 0.500

- N(E_F): 11.90 states/eV per cell
- Total energy: -4.679 eV/atom
- ΔE_f: 0.019 eV/atom
- E above lowest polymorph: 0.0 meV/atom